# 1
The following is a GGA-PBE calculation of an optimized crystal structure of ScS2NCl, from the Alexandria database.

* uncorrected energy: -22.73 eV per formula unit
* relative energy among the computed polymorphs: 235 meV per atom
* energy relative to the elements, uncorrected: 406 meV/atom

Cell: 5.006 5.006 5.074 Å, 90.00 90.00 90.00°
Fractional coordinates of all 5 atoms:
Sc (0.000, 0.000, 0.000)
S (0.000, 0.500, 0.000)
S (0.500, 0.000, 0.000)
N (0.500, 0.500, 0.500)
Cl (0.000, 0.000, 0.500)

---

# 2
The following is a GGA-PBE calculation of an optimized crystal structure of ThMgHg2, from the Alexandria database.

* uncorrected energy: -10.64 eV per formula unit
* DFT formation energy: -255 meV/atom

Cell: 3.525 3.525 7.827 Å, 90.00 90.00 90.00°
Fractional coordinates of all 4 atoms:
Th (0.000, 0.000, 0.000)
Mg (0.000, 0.000, 0.500)
Hg (0.500, 0.500, 0.282)
Hg (0.500, 0.500, 0.718)

---

# 3
The following is a GGA-PBE calculation of an optimized crystal structure of Cd2SbPS, from the Alexandria database.

* uncorrected energy: -12.45 eV per formula unit
* energy relative to the elements, uncorrected: 608 meV/atom

Cell: 5.002 5.002 5.351 Å, 90.00 90.00 90.00°
Fractional coordinates of all 5 atoms:
Cd (0.000, 0.500, 0.000)
Cd (0.500, 0.000, 0.000)
Sb (0.000, 0.000, 0.500)
P (0.500, 0.500, 0.500)
S (0.000, 0.000, 0.000)

---

# 4
The following is a GGA-PBE calculation of an optimized crystal structure of DyCdPb6, from the Alexandria database.

* uncorrected energy: -28.45 eV per formula unit
* DFT formation energy: -85 meV/atom

Cell: 6.799 6.799 5.096 Å, 90.00 90.00 90.28°
Fractional coordinates of all 8 atoms:
Dy (0.000, 0.000, 0.000)
Cd (0.500, 0.500, 0.000)
Pb (0.000, 0.500, 0.000)
Pb (0.252, 0.748, 0.500)
Pb (0.254, 0.254, 0.500)
Pb (0.500, 0.000, 0.000)
Pb (0.746, 0.746, 0.500)
Pb (0.748, 0.252, 0.500)